(1)
A crystal of HgPW2 relaxed with PBEsol, computed with meta-GGA SCAN.

```
data_HgPW2
_symmetry_space_group_name_H-M 'R -3 m'
_symmetry_Int_Tables_number 166
_symmetry_space_group_name_Hall '-R 3 2"'
_cell_length_a 2.9297
_cell_length_b 2.9297
_cell_length_c 25.4888
_cell_angle_alpha 90.00
_cell_angle_beta 90.00
_cell_angle_gamma 120.00
loop_
_atom_site_label
_atom_site_type_symbol
_atom_site_fract_x
_atom_site_fract_y
_atom_site_fract_z
Hg1 Hg 0.0000 0.0000 0.0000
P1 P 0.0000 0.0000 0.5000
W1 W 0.0000 0.0000 0.2390
```

VASP energy	-54.007	eV per atom
calculated formation energy	0.48	eV per atom
energy above the most stable polymorph in this dataset	26	meV/atom
calculated density	15.76	g cm⁻³

=====

(2)
A crystal of Li2In2Pb relaxed with PBEsol, computed with meta-GGA SCAN.

```
data_Li2In2Pb
_symmetry_space_group_name_H-M 'P 4/m b m'
_symmetry_Int_Tables_number 127
_symmetry_space_group_name_Hall '-P 4 2ab'
_cell_length_a 8.223
_cell_length_b 8.223
_cell_length_c 3.252
_cell_angle_alpha 90.00
_cell_angle_beta 90.00
_cell_angle_gamma 90.00
loop_
_atom_site_label
_atom_site_type_symbol
_atom_site_fract_x
_atom_site_fract_y
_atom_site_fract_z
Li1 Li 0.174 0.326 0.000
In1 In 0.126 0.626 0.500
Pb1 Pb 0.000 0.000 0.500
```

VASP energy	-29.725	eV per atom
calculated formation energy	-0.26	eV per atom
calculated density	6.81	g cm⁻³

=====

(3)
A crystal of Li2PrGe relaxed with PBEsol, computed with meta-GGA SCAN.

```
data_Li2PrGe
_symmetry_space_group_name_H-M 'P 63/m m c'
_symmetry_Int_Tables_number 194
_symmetry_space_group_name_Hall '-P 6c 2c'
_cell_length_a 4.3340
_cell_length_b 4.3340
_cell_length_c 9.4184
_cell_angle_alpha 90.00
_cell_angle_beta 90.00
_cell_angle_gamma 120.00
loop_
_atom_site_label
_atom_site_type_symbol
_atom_site_fract_x
_atom_site_fract_y
_atom_site_fract_z
Li1 Li 0.3333 0.6667 0.0665
Pr1 Pr 0.3333 0.6667 0.7500
Ge1 Ge 0.0000 0.0000 0.0000
```

VASP energy	-17.214	eV per atom
calculated formation energy	-0.42	eV per atom
calculated density	4.93	g cm⁻³

=====

(4)
A crystal of NaPO3 relaxed with PBEsol, computed with meta-GGA SCAN.

```
data_NaPO3
_symmetry_space_group_name_H-M 'P n m a'
_symmetry_Int_Tables_number 62
_cell_length_a 7.705
_cell_length_b 7.927
_cell_length_c 13.263
_cell_angle_alpha 90.00
_cell_angle_beta 90.00
_cell_angle_gamma 90.00
loop_
_symmetry_equiv_pos_as_xyz
'x,y,z'
'-x,-y,-z'
'-x+1/2,-y,z+1/2'
'x+1/2,y,-z+1/2'
'x+1/2,-y+1/2,-z+1/2'
'-x+1/2,y+1/2,z+1/2'
'-x,y+1/2,-z'
'x,-y+1/2,z'
loop_
_atom_site_label
_atom_site_type_symbol
_atom_site_fract_x
_atom_site_fract_y
_atom_site_fract_z
Na1 Na 0.036 0.250 0.221
Na2 Na 0.184 0.004 0.573
P1 P 0.022 0.250 0.962
P2 P 0.247 0.567 0.329
O1 O 0.070 0.091 0.889
O2 O 0.104 0.536 0.403
O3 O 0.139 0.250 0.052
O4 O 0.170 0.750 0.026
O5 O 0.219 0.559 0.747
O6 O 0.226 0.750 0.276
```

VASP energy	-9.119	eV per atom
formation energy from raw total energies	-2.457	eV per atom
calculated density	2.51	g cm⁻³

=====

(5)
A crystal of BaP2Ir relaxed with PBEsol, computed with meta-GGA SCAN.

```
data_BaP2Ir
_symmetry_space_group_name_H-M 'P 4 m m'
_symmetry_Int_Tables_number 99
_cell_length_a 3.356
_cell_length_b 3.356
_cell_length_c 7.054
_cell_angle_alpha 90.00
_cell_angle_beta 90.00
_cell_angle_gamma 90.00
loop_
_symmetry_equiv_pos_as_xyz
'x,y,z'
'-y,x,z'
'-x,-y,z'
'y,-x,z'
'-x,y,z'
'y,x,z'
'x,-y,z'
'-y,-x,z'
loop_
_atom_site_label
_atom_site_type_symbol
_atom_site_fract_x
_atom_site_fract_y
_atom_site_fract_z
Ba1 Ba 0.000 0.000 0.000
P1 P 0.000 0.000 0.474
P2 P 0.500 0.500 0.702
Ir1 Ir 0.500 0.500 0.375
```

VASP energy	-32.892	eV per atom
calculated formation energy	-0.03	eV per atom
calculated density	8.18	g cm⁻³

=====

(6)
A crystal of PdAu2F2 relaxed with PBEsol, computed with meta-GGA SCAN.

```
data_PdAu2F2
_symmetry_space_group_name_H-M 'I 4/m m m'
_symmetry_Int_Tables_number 139
_symmetry_space_group_name_Hall '-I 4 2'
_cell_length_a 3.751
_cell_length_b 3.751
_cell_length_c 10.908
_cell_angle_alpha 90.00
_cell_angle_beta 90.00
_cell_angle_gamma 90.00
loop_
_atom_site_label
_atom_site_type_symbol
_atom_site_fract_x
_atom_site_fract_y
_atom_site_fract_z
Pd1 Pd 0.000 0.000 0.000
Au1 Au 0.000 0.500 0.250
F1 F 0.000 0.000 0.399
```

VASP energy	-35.592	eV per atom
formation energy from raw total energies	0.041	eV per atom
calculated density	11.65	g cm⁻³

=====

(7)
A crystal of MgSc2TlCl relaxed with PBEsol, computed with meta-GGA SCAN.

```
data_MgSc2TlCl
_symmetry_space_group_name_H-M 'P 4/m m m'
_symmetry_Int_Tables_number 123
_symmetry_space_group_name_Hall '-P 4 2'
_cell_length_a 4.740
_cell_length_b 4.740
_cell_length_c 5.534
_cell_angle_alpha 90.00
_cell_angle_beta 90.00
_cell_angle_gamma 90.00
loop_
_atom_site_label
_atom_site_type_symbol
_atom_site_fract_x
_atom_site_fract_y
_atom_site_fract_z
Mg1 Mg 0.000 0.000 0.000
Sc1 Sc 0.000 0.500 0.500
Tl1 Tl 0.500 0.500 0.000
Cl1 Cl 0.500 0.500 0.500
```

VASP energy	-22.975	eV per atom
formation energy from raw total energies	-0.219	eV per atom
calculated density	4.73	g cm⁻³

=====

(8)
A crystal of Ba3P relaxed with PBEsol, computed with meta-GGA SCAN.

```
data_Ba3P
_symmetry_space_group_name_H-M 'R -3 m'
_symmetry_Int_Tables_number 166
_symmetry_space_group_name_Hall '-R 3 2"'
_cell_length_a 4.5428
_cell_length_b 4.5428
_cell_length_c 34.6826
_cell_angle_alpha 90.00
_cell_angle_beta 90.00
_cell_angle_gamma 120.00
loop_
_atom_site_label
_atom_site_type_symbol
_atom_site_fract_x
_atom_site_fract_y
_atom_site_fract_z
Ba1 Ba 0.0000 0.0000 0.0000
Ba2 Ba 0.0000 0.0000 0.2163
P1 P 0.0000 0.0000 0.5000
```

VASP energy	-32.975	eV per atom
calculated formation energy	-0.71	eV per atom
energy above the most stable polymorph in this dataset	0	meV/atom
calculated density	3.56	g cm⁻³

=====

(9)
A crystal of LiCd2Ga relaxed with PBEsol, computed with meta-GGA SCAN.

```
data_LiCd2Ga
_symmetry_space_group_name_H-M 'F m -3 m'
_symmetry_Int_Tables_number 225
_symmetry_space_group_name_Hall '-F 4 2 3'
_cell_length_a 6.642
_cell_length_b 6.642
_cell_length_c 6.642
_cell_angle_alpha 90.00
_cell_angle_beta 90.00
_cell_angle_gamma 90.00
loop_
_atom_site_label
_atom_site_type_symbol
_atom_site_fract_x
_atom_site_fract_y
_atom_site_fract_z
Li1 Li 0.000 0.000 0.000
Cd1 Cd 0.250 0.250 0.250
Ga1 Ga 0.000 0.000 0.500
```

VASP energy	-20.044	eV per atom
calculated formation energy	-0.15	eV per atom
calculated density	6.84	g cm⁻³

=====

(10)
A crystal of La2NiRuO6 relaxed with PBEsol, computed with meta-GGA SCAN.

```
data_La2NiRuO6
_symmetry_space_group_name_H-M 'P 1 21/c 1'
_symmetry_Int_Tables_number 14
_cell_length_a 5.458
_cell_length_b 5.655
_cell_length_c 9.501
_cell_angle_alpha 90.00
_cell_angle_beta 125.02
_cell_angle_gamma 90.00
loop_
_symmetry_equiv_pos_as_xyz
'x,y,z'
'-x,-y,-z'
'-x,y+1/2,-z+1/2'
'x,-y+1/2,z+1/2'
loop_
_atom_site_label
_atom_site_type_symbol
_atom_site_fract_x
_atom_site_fract_y
_atom_site_fract_z
La1 La 0.237 0.052 0.249
Ni1 Ni 0.000 0.000 0.500
Ru1 Ru 0.500 0.000 0.000
O1 O 0.164 0.203 0.957
O2 O 0.257 0.709 0.956
O3 O 0.334 0.021 0.752
```

VASP energy	-20.037	eV per atom
formation energy from raw total energies	-2.578	eV per atom
calculated density	7.38	g cm⁻³

=====

(11)
A crystal of Dy10Si17 relaxed with PBEsol, computed with meta-GGA SCAN.

```
data_Dy10Si17
_symmetry_space_group_name_H-M 'I m m 2'
_symmetry_Int_Tables_number 44
_cell_length_a 8.207
_cell_length_b 18.947
_cell_length_c 6.593
_cell_angle_alpha 90.00
_cell_angle_beta 90.00
_cell_angle_gamma 90.00
loop_
_symmetry_equiv_pos_as_xyz
'x,y,z'
'-x,-y,z'
'-x,y,z'
'x,-y,z'
'x+1/2,y+1/2,z+1/2'
'-x+1/2,-y+1/2,z+1/2'
'-x+1/2,y+1/2,z+1/2'
'x+1/2,-y+1/2,z+1/2'
loop_
_atom_site_label
_atom_site_type_symbol
_atom_site_fract_x
_atom_site_fract_y
_atom_site_fract_z
Dy1 Dy 0.244 0.000 0.000
Dy2 Dy 0.248 0.300 0.503
Dy3 Dy 0.248 0.400 0.009
Si1 Si 0.000 0.000 0.319
Si2 Si 0.000 0.000 0.671
Si3 Si 0.000 0.105 0.850
Si4 Si 0.000 0.123 0.210
Si5 Si 0.000 0.200 0.613
Si6 Si 0.000 0.283 0.199
Si7 Si 0.000 0.301 0.837
Si8 Si 0.000 0.400 0.342
Si9 Si 0.000 0.420 0.700
Si10 Si 0.000 0.500 0.123
```

VASP energy	-24.689	eV per atom
formation energy from raw total energies	-0.681	eV per atom
calculated density	6.81	g cm⁻³

=====

(12)
A crystal of SiSb2Te relaxed with PBEsol, computed with meta-GGA SCAN.

```
data_SiSb2Te
_symmetry_space_group_name_H-M 'C 1 2/m 1'
_symmetry_Int_Tables_number 12
_cell_length_a 6.277
_cell_length_b 9.901
_cell_length_c 3.313
_cell_angle_alpha 90.00
_cell_angle_beta 110.44
_cell_angle_gamma 90.00
loop_
_symmetry_equiv_pos_as_xyz
'x,y,z'
'-x,-y,-z'
'-x,y,-z'
'x,-y,z'
'x+1/2,y+1/2,z'
'-x+1/2,-y+1/2,-z'
'-x+1/2,y+1/2,-z'
'x+1/2,-y+1/2,z'
loop_
_atom_site_label
_atom_site_type_symbol
_atom_site_fract_x
_atom_site_fract_y
_atom_site_fract_z
Si1 Si 0.000 0.000 0.000
Sb1 Sb 0.250 0.250 0.500
Te1 Te 0.000 0.500 0.000
```

VASP energy	-29.902	eV per atom
formation energy from raw total energies	0.545	eV per atom
energy above the most stable polymorph in this dataset	22	meV/atom
calculated density	6.87	g cm⁻³

=====

(13)
A crystal of Sr2YTc relaxed with PBEsol, computed with meta-GGA SCAN.

```
data_Sr2YTc
_symmetry_space_group_name_H-M 'F -4 3 m'
_symmetry_Int_Tables_number 216
_symmetry_space_group_name_Hall 'F -4 2 3'
_cell_length_a 7.550
_cell_length_b 7.550
_cell_length_c 7.550
_cell_angle_alpha 90.00
_cell_angle_beta 90.00
_cell_angle_gamma 90.00
loop_
_atom_site_label
_atom_site_type_symbol
_atom_site_fract_x
_atom_site_fract_y
_atom_site_fract_z
Sr1 Sr 0.000 0.000 0.000
Sr2 Sr 0.250 0.250 0.250
Y1 Y 0.000 0.000 0.500
Tc1 Tc 0.250 0.250 0.750
```

VASP energy	-26.176	eV per atom
calculated formation energy	0.69	eV per atom
energy above the most stable polymorph in this dataset	0	meV/atom
calculated density	5.59	g cm⁻³

=====

(14)
A crystal of MnInCo2 relaxed with PBEsol, computed with meta-GGA SCAN.

```
data_MnInCo2
_symmetry_space_group_name_H-M 'C 1 2/m 1'
_symmetry_Int_Tables_number 12
_cell_length_a 8.280
_cell_length_b 2.792
_cell_length_c 4.663
_cell_angle_alpha 90.00
_cell_angle_beta 103.69
_cell_angle_gamma 90.00
loop_
_symmetry_equiv_pos_as_xyz
'x,y,z'
'-x,-y,-z'
'-x,y,-z'
'x,-y,z'
'x+1/2,y+1/2,z'
'-x+1/2,-y+1/2,-z'
'-x+1/2,y+1/2,-z'
'x+1/2,-y+1/2,z'
loop_
_atom_site_label
_atom_site_type_symbol
_atom_site_fract_x
_atom_site_fract_y
_atom_site_fract_z
Mn1 Mn 0.000 0.000 0.000
In1 In 0.000 0.500 0.500
Co1 Co 0.237 0.500 0.209
```

VASP energy	-21.394	eV per atom
calculated formation energy	0.17	eV per atom
calculated density	9.12	g cm⁻³

=====

(15)
A crystal of CuSbCl relaxed with PBEsol, computed with meta-GGA SCAN.

```
data_CuSbCl
_symmetry_space_group_name_H-M 'I 4 m m'
_symmetry_Int_Tables_number 107
_symmetry_space_group_name_Hall 'I 4 -2'
_cell_length_a 3.122
_cell_length_b 3.122
_cell_length_c 12.131
_cell_angle_alpha 90.00
_cell_angle_beta 90.00
_cell_angle_gamma 90.00
loop_
_atom_site_label
_atom_site_type_symbol
_atom_site_fract_x
_atom_site_fract_y
_atom_site_fract_z
Cu1 Cu 0.000 0.000 0.000
Sb1 Sb 0.000 0.000 0.648
Cl1 Cl 0.000 0.000 0.384
```

VASP energy	-20.167	eV per atom
formation energy from raw total energies	-0.021	eV per atom
energy above the most stable polymorph in this dataset	0	meV/atom
calculated density	6.20	g cm⁻³

=====

(16)
A crystal of TePtAu relaxed with PBEsol, computed with meta-GGA SCAN.

```
data_TePtAu
_symmetry_space_group_name_H-M 'P 3 m 1'
_symmetry_Int_Tables_number 156
_cell_length_a 3.8594
_cell_length_b 3.8594
_cell_length_c 4.7951
_cell_angle_alpha 90.00
_cell_angle_beta 90.00
_cell_angle_gamma 120.00
loop_
_symmetry_equiv_pos_as_xyz
'x,y,z'
'-y,x-y,z'
'-x+y,-x,z'
'-y,-x,z'
'-x+y,y,z'
'x,x-y,z'
loop_
_atom_site_label
_atom_site_type_symbol
_atom_site_fract_x
_atom_site_fract_y
_atom_site_fract_z
Te1 Te 0.0000 0.0000 0.0000
Pt1 Pt 0.6667 0.3333 0.2973
Au1 Au 0.3333 0.6667 0.6138
```

VASP energy	-59.027	eV per atom
formation energy from raw total energies	-0.159	eV per atom
energy above the most stable polymorph in this dataset	0	meV/atom
calculated density	13.95	g cm⁻³

=====

(17)
A crystal of Li2H2Pb relaxed with PBEsol, computed with meta-GGA SCAN.

```
data_Li2H2Pb
_symmetry_space_group_name_H-M 'P 4/m b m'
_symmetry_Int_Tables_number 127
_symmetry_space_group_name_Hall '-P 4 2ab'
_cell_length_a 6.841
_cell_length_b 6.841
_cell_length_c 2.900
_cell_angle_alpha 90.00
_cell_angle_beta 90.00
_cell_angle_gamma 90.00
loop_
_atom_site_label
_atom_site_type_symbol
_atom_site_fract_x
_atom_site_fract_y
_atom_site_fract_z
Li1 Li 0.123 0.377 0.000
H1 H 0.113 0.613 0.500
Pb1 Pb 0.000 0.000 0.500
```

VASP energy	-17.428	eV per atom
calculated density	5.46	g cm⁻³

=====

(18)
A crystal of Mg3CrN relaxed with PBEsol, computed with meta-GGA SCAN.

```
data_Mg3CrN
_symmetry_space_group_name_H-M 'P m -3 m'
_symmetry_Int_Tables_number 221
_symmetry_space_group_name_Hall '-P 4 2 3'
_cell_length_a 4.306
_cell_length_b 4.306
_cell_length_c 4.306
_cell_angle_alpha 90.00
_cell_angle_beta 90.00
_cell_angle_gamma 90.00
loop_
_atom_site_label
_atom_site_type_symbol
_atom_site_fract_x
_atom_site_fract_y
_atom_site_fract_z
Mg1 Mg 0.000 0.000 0.500
Cr1 Cr 0.500 0.500 0.500
N1 N 0.000 0.000 0.000
```

VASP energy	-8.666	eV per atom
formation energy from raw total energies	-0.147	eV per atom
calculated density	2.89	g cm⁻³

=====

(19)
A crystal of Cd4OsCl relaxed with PBEsol, computed with meta-GGA SCAN.

```
data_Cd4OsCl
_symmetry_space_group_name_H-M 'F -4 3 m'
_symmetry_Int_Tables_number 216
_symmetry_space_group_name_Hall 'F -4 2 3'
_cell_length_a 7.797
_cell_length_b 7.797
_cell_length_c 7.797
_cell_angle_alpha 90.00
_cell_angle_beta 90.00
_cell_angle_gamma 90.00
loop_
_atom_site_label
_atom_site_type_symbol
_atom_site_fract_x
_atom_site_fract_y
_atom_site_fract_z
Cd1 Cd 0.124 0.124 0.124
Os1 Os 0.250 0.250 0.750
Cl1 Cl 0.000 0.000 0.500
```

VASP energy	-32.893	eV per atom
formation energy from raw total energies	0.693	eV per atom
calculated density	9.46	g cm⁻³

=====

(20)
A crystal of KTbP2H4O9 relaxed with PBEsol, computed with meta-GGA SCAN.

```
data_KTbP2H4O9
_symmetry_space_group_name_H-M 'P 1 21/c 1'
_symmetry_Int_Tables_number 14
_cell_length_a 7.738
_cell_length_b 10.712
_cell_length_c 9.760
_cell_angle_alpha 90.00
_cell_angle_beta 92.15
_cell_angle_gamma 90.00
loop_
_symmetry_equiv_pos_as_xyz
'x,y,z'
'-x,-y,-z'
'-x,y+1/2,-z+1/2'
'x,-y+1/2,z+1/2'
loop_
_atom_site_label
_atom_site_type_symbol
_atom_site_fract_x
_atom_site_fract_y
_atom_site_fract_z
K1 K 0.248 0.215 0.348
Tb1 Tb 0.245 0.618 0.175
P1 P 0.110 0.601 0.824
P2 P 0.471 0.645 0.866
H1 H 0.018 0.156 0.006
H2 H 0.079 0.076 0.132
H3 H 0.203 0.003 0.966
H4 H 0.340 0.615 0.471
O1 O 0.012 0.016 0.275
O2 O 0.084 0.635 0.973
O3 O 0.085 0.709 0.723
O4 O 0.123 0.117 0.046
O5 O 0.252 0.571 0.414
O6 O 0.312 0.554 0.814
O7 O 0.364 0.075 0.664
O8 O 0.448 0.667 0.019
O9 O 0.453 0.735 0.284
```

VASP energy	-10.867	eV per atom
calculated density	3.35	g cm⁻³

=====

| no. | total moment (Bohr magnetons per cell) |
| --- | --- |
| 1 | 0.000 |
| 2 | 0.000 |
| 3 | 1.865 |
| 4 | 0.001 |
| 5 | 0.000 |
| 6 | 1.681 |
| 7 | 0.000 |
| 8 | 3.377 |
| 9 | 0.000 |
| 10 | 8.000 |
| 11 | 0.000 |
| 12 | 0.000 |
| 13 | 0.000 |
| 14 | 12.475 |
| 15 | 0.000 |
| 16 | 0.000 |
| 17 | 0.000 |
| 18 | 4.865 |
| 19 | 4.799 |
| 20 | 0.001 |